(1)
A plane-wave DFT calculation with PBE-GGA was carried out for a relaxed structure of MgIr2Au.

energy relative to the elements	0.01	eV per atom

abc: 4.760 2.816 4.764
angles: 88.76 90.00 90.00
Positions (direct):
1 Au 0.500 0.750 0.750
2 Ir 0.000 0.992 0.007
3 Ir 0.000 0.508 0.493
4 Mg 0.500 0.250 0.250

=====

(2)
A plane-wave DFT calculation with PBE-GGA was carried out for a relaxed structure of Rb2InSnI6.

ΔE_f (raw)	-0.86	eV/atom

abc: 8.774 8.823 12.362
angles: 90.00 90.00 90.00
Positions (direct):
1 Rb 0.500 0.784 0.218
2 Rb 0.000 0.216 0.718
3 Rb 0.500 0.784 0.782
4 Rb 0.000 0.216 0.282
5 In 0.500 0.246 0.500
6 In 0.000 0.754 0.000
7 Sn 0.000 0.739 0.500
8 Sn 0.500 0.261 0.000
9 I 0.500 0.238 0.251
10 I 0.500 0.238 0.749
11 I 0.000 0.762 0.249
12 I 0.000 0.762 0.751
13 I 0.252 0.989 0.500
14 I 0.748 0.989 0.500
15 I 0.241 0.480 0.500
16 I 0.759 0.480 0.500
17 I 0.741 0.520 0.000
18 I 0.259 0.520 0.000
19 I 0.248 0.011 0.000
20 I 0.752 0.011 0.000

=====

(3)
A plane-wave DFT calculation with PBE-GGA was carried out for a relaxed structure of LiCa3Mo.

energy relative to the elements	0.75	eV per atom
E above lowest polymorph	0.0	kJ/mol of atoms

abc: 5.601 5.601 5.601
angles: 90.00 90.00 90.00
Positions (direct):
1 Mo 0.000 0.000 0.000
2 Ca 0.000 0.500 0.000
3 Ca 0.000 0.000 0.500
4 Ca 0.500 0.000 0.000
5 Li 0.500 0.500 0.500

=====

(4)
A plane-wave DFT calculation with PBE-GGA was carried out for a relaxed structure of Ce4C2Br.

E above lowest polymorph	0.0	kJ/mol of atoms
ΔE_f (raw)	-0.52	eV/atom

abc: 3.613 3.613 14.170
angles: 82.68 82.68 60.00
Positions (direct):
1 C 0.424 0.424 0.727
2 C 0.576 0.576 0.273
3 Br 0.000 0.000 0.000
4 Ce 0.124 0.124 0.628
5 Ce 0.276 0.276 0.172
6 Ce 0.724 0.724 0.828
7 Ce 0.876 0.876 0.372

=====

| no. | E_tot (eV per atom) |
| --- | --- |
| 1 | -5.64 |
| 2 | -2.66 |
| 3 | -3.00 |
| 4 | -6.78 |